a | A plane-wave DFT calculation with PBE was carried out for crystalline Gd2MgRh at its relaxed geometry. Values from VASP.

```
&SYSTEM
  ibrav = 0, nat = 16, ntyp = 3
/
ATOMIC_SPECIES
Gd 157.25 Gd.upf
Mg 24.30 Mg.upf
Rh 102.91 Rh.upf
CELL_PARAMETERS angstrom
7.212 0.000 0.000
0.000 7.212 0.000
0.000 0.000 7.212
ATOMIC_POSITIONS angstrom
Gd 1.803 1.803 1.803
Gd 1.803 1.803 5.409
Gd 1.803 5.409 1.803
Gd 1.803 5.409 5.409
Gd 5.409 1.803 1.803
Gd 5.409 1.803 5.409
Gd 5.409 5.409 1.803
Gd 5.409 5.409 5.409
Mg 0.000 0.000 0.000
Mg 0.000 3.606 3.606
Mg 3.606 0.000 3.606
Mg 3.606 3.606 0.000
Rh 0.000 0.000 3.606
Rh 0.000 3.606 0.000
Rh 3.606 0.000 0.000
Rh 3.606 3.606 3.606
```

Output
Space-group type: Fm-3m
Total magnetic moment, Bohr magnetons per cell: 56.5

b | A plane-wave DFT calculation with PBE was carried out for crystalline Gd2MgRh at its relaxed geometry. Values from VASP.

```
&SYSTEM
  ibrav = 0, nat = 12, ntyp = 3
/
ATOMIC_SPECIES
Gd 157.25 Gd.upf
Mg 24.30 Mg.upf
Rh 102.91 Rh.upf
CELL_PARAMETERS angstrom
3.892 0.000 0.000
-1.946 3.371 0.000
0.000 0.000 25.777
ATOMIC_POSITIONS angstrom
Gd 0.000 0.000 5.927
Gd 0.000 0.000 19.849
Gd 0.000 2.247 11.257
Gd 0.000 2.247 23.111
Gd 1.946 1.124 2.665
Gd 1.946 1.124 14.519
Mg 0.000 0.000 0.000
Mg 0.000 2.247 17.184
Mg 1.946 1.124 8.592
Rh 0.000 0.000 12.888
Rh 0.000 2.247 4.296
Rh 1.946 1.124 21.480
```

Output
Space-group type: R-3m
Total magnetic moment, Bohr magnetons per cell: 42.9

c | A plane-wave DFT calculation with PBE was carried out for crystalline Gd2MgRh at its relaxed geometry. Values from VASP.

```
&SYSTEM
  ibrav = 0, nat = 4, ntyp = 3
/
ATOMIC_SPECIES
Gd 157.25 Gd.upf
Mg 24.30 Mg.upf
Rh 102.91 Rh.upf
CELL_PARAMETERS angstrom
3.560 0.000 0.000
0.000 3.560 0.000
0.000 0.000 7.755
ATOMIC_POSITIONS angstrom
Gd 0.000 0.000 1.633
Gd 0.000 0.000 6.121
Mg 1.780 1.780 3.877
Rh 1.780 1.780 0.000
```

Output
Space-group type: P4/mmm
Total magnetic moment, Bohr magnetons per cell: 14.2

What should be chosen as the most stable of them? Choose c.

a | A plane-wave DFT calculation with PBE was carried out for crystalline GdMgSc at its relaxed geometry. Values from VASP.

```
&SYSTEM
  ibrav = 0, nat = 6, ntyp = 3
/
ATOMIC_SPECIES
Gd 157.25 Gd.upf
Mg 24.30 Mg.upf
Sc 44.96 Sc.upf
CELL_PARAMETERS angstrom
3.524 0.000 0.000
0.000 3.524 0.000
0.000 0.000 12.900
ATOMIC_POSITIONS angstrom
Gd 0.000 0.000 0.000
Gd 1.762 1.762 6.450
Mg 0.000 0.000 8.726
Mg 1.762 1.762 2.276
Sc 0.000 0.000 4.194
Sc 1.762 1.762 10.644
```

Output
Space-group type: I4mm
Total magnetic moment, Bohr magnetons per cell: 15.7

b | A plane-wave DFT calculation with PBE was carried out for crystalline GdMgSc at its relaxed geometry. Values from VASP.

```
&SYSTEM
  ibrav = 0, nat = 3, ntyp = 3
/
ATOMIC_SPECIES
Gd 157.25 Gd.upf
Mg 24.30 Mg.upf
Sc 44.96 Sc.upf
CELL_PARAMETERS angstrom
5.311 0.000 0.000
-2.655 4.599 0.000
0.000 0.000 3.266
ATOMIC_POSITIONS angstrom
Gd 0.000 0.000 0.000
Mg 0.000 3.066 1.193
Sc 2.655 1.533 1.896
```

Output
Space-group type: P3m1
Total magnetic moment, Bohr magnetons per cell: 7.3

What should be chosen as the most stable of them? Choose a.

a | A plane-wave DFT calculation with PBE was carried out for crystalline SmGdMg at its relaxed geometry. Values from VASP.

```
&SYSTEM
  ibrav = 0, nat = 6, ntyp = 3
/
ATOMIC_SPECIES
Sm 150.36 Sm.upf
Gd 157.25 Gd.upf
Mg 24.30 Mg.upf
CELL_PARAMETERS angstrom
3.735 0.000 0.000
0.000 3.735 0.000
0.000 0.000 12.907
ATOMIC_POSITIONS angstrom
Sm 0.000 0.000 0.000
Sm 1.867 1.867 6.454
Gd 0.000 0.000 8.824
Gd 1.867 1.867 2.370
Mg 0.000 0.000 4.401
Mg 1.867 1.867 10.855
```

Output
Space-group type: I4mm
Total magnetic moment, Bohr magnetons per cell: 15.2

b | A plane-wave DFT calculation with PBE was carried out for crystalline SmGdMg at its relaxed geometry. Values from VASP.

```
&SYSTEM
  ibrav = 0, nat = 3, ntyp = 3
/
ATOMIC_SPECIES
Sm 150.36 Sm.upf
Gd 157.25 Gd.upf
Mg 24.30 Mg.upf
CELL_PARAMETERS angstrom
5.495 0.000 0.000
-2.748 4.759 0.000
0.000 0.000 3.421
ATOMIC_POSITIONS angstrom
Sm 0.000 0.000 0.000
Gd 0.000 3.173 1.442
Mg 2.748 1.586 2.385
```

Output
Space-group type: P3m1
Total magnetic moment, Bohr magnetons per cell: 7.4

What should be chosen as the most stable of them? Choose a.

a | A plane-wave DFT calculation with PBE was carried out for crystalline GdMg2Sn at its relaxed geometry. Values from VASP.

```
&SYSTEM
  ibrav = 0, nat = 12, ntyp = 3
/
ATOMIC_SPECIES
Gd 157.25 Gd.upf
Mg 24.30 Mg.upf
Sn 118.71 Sn.upf
CELL_PARAMETERS angstrom
3.330 0.000 0.000
-1.665 2.884 0.000
0.000 0.000 33.882
ATOMIC_POSITIONS angstrom
Gd 0.000 0.000 0.000
Gd 0.000 1.923 22.588
Gd 1.665 0.961 11.294
Mg 0.000 0.000 3.191
Mg 0.000 0.000 30.691
Mg 0.000 1.923 19.397
Mg 0.000 1.923 25.779
Mg 1.665 0.961 8.103
Mg 1.665 0.961 14.485
Sn 0.000 0.000 16.941
Sn 0.000 1.923 5.647
Sn 1.665 0.961 28.235
```

Output
Space-group type: R-3m
Total magnetic moment, Bohr magnetons per cell: 22.4

b | A plane-wave DFT calculation with PBE was carried out for crystalline GdMg2Sn at its relaxed geometry. Values from VASP.

```
&SYSTEM
  ibrav = 0, nat = 4, ntyp = 3
/
ATOMIC_SPECIES
Gd 157.25 Gd.upf
Mg 24.30 Mg.upf
Sn 118.71 Sn.upf
CELL_PARAMETERS angstrom
4.525 0.000 0.000
0.000 4.525 0.000
0.000 0.000 4.786
ATOMIC_POSITIONS angstrom
Gd 0.000 0.000 0.000
Mg 0.000 2.263 2.393
Mg 2.263 0.000 2.393
Sn 2.263 2.263 0.000
```

Output
Space-group type: P4/mmm
Total magnetic moment, Bohr magnetons per cell: 7.1

What should be chosen as the most stable of them? Choose b.

a | A plane-wave DFT calculation with PBE was carried out for crystalline SrGd2Mg at its relaxed geometry. Values from VASP.

```
&SYSTEM
  ibrav = 0, nat = 4, ntyp = 3
/
ATOMIC_SPECIES
Sr 87.62 Sr.upf
Gd 157.25 Gd.upf
Mg 24.30 Mg.upf
CELL_PARAMETERS angstrom
3.868 0.000 0.000
0.000 3.868 0.000
0.000 0.000 9.371
ATOMIC_POSITIONS angstrom
Sr 0.000 0.000 0.000
Gd 1.934 1.934 2.900
Gd 1.934 1.934 6.471
Mg 0.000 0.000 4.686
```

Output
Space-group type: P4/mmm
Total magnetic moment, Bohr magnetons per cell: 15.1

b | A plane-wave DFT calculation with PBE was carried out for crystalline SrGd2Mg at its relaxed geometry. Values from VASP.

```
&SYSTEM
  ibrav = 0, nat = 12, ntyp = 3
/
ATOMIC_SPECIES
Sr 87.62 Sr.upf
Gd 157.25 Gd.upf
Mg 24.30 Mg.upf
CELL_PARAMETERS angstrom
3.625 0.000 0.000
-1.812 3.139 0.000
0.000 0.000 37.193
ATOMIC_POSITIONS angstrom
Sr 0.000 0.000 0.000
Sr 0.000 2.093 24.796
Sr 1.812 1.046 12.398
Gd 0.000 0.000 3.575
Gd 0.000 0.000 33.619
Gd 0.000 2.093 21.221
Gd 0.000 2.093 28.370
Gd 1.812 1.046 8.823
Gd 1.812 1.046 15.972
Mg 0.000 0.000 18.597
Mg 0.000 2.093 6.199
Mg 1.812 1.046 30.994
```

Output
Space-group type: R-3m
Total magnetic moment, Bohr magnetons per cell: 46.2

What should be chosen as the most stable of them? Choose a.

a | A plane-wave DFT calculation with PBE was carried out for crystalline Tb2GdMg at its relaxed geometry. Values from VASP.

```
&SYSTEM
  ibrav = 0, nat = 4, ntyp = 3
/
ATOMIC_SPECIES
Tb 158.93 Tb.upf
Gd 157.25 Gd.upf
Mg 24.30 Mg.upf
CELL_PARAMETERS angstrom
3.625 0.000 0.000
0.000 3.625 0.000
0.000 0.000 9.111
ATOMIC_POSITIONS angstrom
Tb 0.000 0.000 2.106
Tb 0.000 0.000 7.005
Gd 1.813 1.813 4.555
Mg 1.813 1.813 0.000
```

Output
Space-group type: P4/mmm
Total magnetic moment, Bohr magnetons per cell: 7.2

b | A plane-wave DFT calculation with PBE was carried out for crystalline Tb2GdMg at its relaxed geometry. Values from VASP.

```
&SYSTEM
  ibrav = 0, nat = 4, ntyp = 3
/
ATOMIC_SPECIES
Tb 158.93 Tb.upf
Gd 157.25 Gd.upf
Mg 24.30 Mg.upf
CELL_PARAMETERS angstrom
5.544 0.000 0.000
0.000 5.544 0.000
0.000 0.000 3.874
ATOMIC_POSITIONS angstrom
Tb 0.000 2.772 0.000
Tb 2.772 0.000 0.000
Gd 0.000 0.000 1.937
Mg 2.772 2.772 1.937
```

Output
Space-group type: P4/mmm
Total magnetic moment, Bohr magnetons per cell: 7.1

What should be chosen as the most stable of them? Choose a.